BaVHgO4: relaxed, PBE+U.

Lattice parameters (Å, degrees): 7.1478 7.1478 7.7205 99.32 99.32 58.74
Element x y z (fractional)
Ba: 0.1944 0.1944 0.3423
Ba: 0.8056 0.8056 0.6577
V: 0.1477 0.1477 0.7718
V: 0.8523 0.8523 0.2282
Hg: 0.3966 0.3966 0.0020
Hg: 0.6034 0.6034 0.9980
O: 0.0133 0.0133 0.7851
O: 0.0146 0.6254 0.3477
O: 0.2282 0.2282 0.9968
O: 0.3746 0.9854 0.6523
O: 0.6254 0.0146 0.3477
O: 0.7718 0.7718 0.0032
O: 0.9854 0.3746 0.6523
O: 0.9867 0.9867 0.2149

## Properties
E_tot (eV per atom): -6.14
Total magnetic moment (Bohr magnetons per cell): 0.00
Density of states at the Fermi level (states/eV/f.u.): 0.00
Space-group type: C2/m (12)